An optimized crystal structure of ZrTi2P2, computed with PBE.

Lattice parameters (Å, degrees): 6.3486 6.3486 5.0960 108.98 108.98 98.68
With the nearest neighbours (Å) after each atom.
Fractional positions:
Zr1 0.8877 0.6123 0.7500  4 P 2.63-2.80
Zr2 0.1123 0.3877 0.2500  4 P 2.63-2.80
Ti1 0.2193 0.9256 0.5087  4 P 2.42-2.51
Ti2 0.4256 0.7193 0.0087  4 P 2.42-2.51
Ti3 0.7807 0.0744 0.4913  4 P 2.42-2.51
Ti4 0.5744 0.2807 0.9913  4 P 2.42-2.51
P1 0.1785 0.3215 0.7500  4 Ti 2.42-2.51, 2 Zr 2.63
P2 0.3865 0.1135 0.2500  4 Ti 2.42-2.49, 1 Zr 2.64
P3 0.6135 0.8865 0.7500  4 Ti 2.42-2.49, 1 Zr 2.64
P4 0.8215 0.6785 0.2500  4 Ti 2.42-2.51, 2 Zr 2.63

Properties
* energy of formation from the pure elements: -416.0 kJ/mol of formula units
* total DFT energy (no corrections): -7.894 eV per atom
* polymorph energy (0 for the lowest one): 223 meV/atom